Entry 1:
# TlRuCl3, relaxed, DFT GGA-PBE
# - calculated volume (Å³ per atom) = 32.2
# - E_tot (eV per atom) = -2.938
# - total magnetization (μB/atom) = 0.61
# - density of states at the Fermi level (states/eV/f.u.) = 1.47
# - E above lowest polymorph (kJ per mole of atoms) = 89.2
data_TlRuCl3
_cell_length_a 5.4410
_cell_length_b 5.4410
_cell_length_c 5.4410
_cell_angle_alpha 90.00
_cell_angle_beta 90.00
_cell_angle_gamma 90.00
_symmetry_space_group_name_H-M 'P m -3 m'
_symmetry_Int_Tables_number 221
_symmetry_space_group_name_Hall '-P 4 2 3'
loop_
_atom_site_label
_atom_site_type_symbol
_atom_site_fract_x
_atom_site_fract_y
_atom_site_fract_z
Tl1 Tl 0.0000 0.0000 0.0000
Ru1 Ru 0.5000 0.5000 0.5000
Cl1 Cl 0.0000 0.0000 0.5000

---

Entry 2:
# Tl3RuCl6, relaxed, DFT GGA-PBE
# - calculated volume (Å³ per atom) = 29.8
# - E_tot (eV per atom) = -3.555
# - total magnetization (μB/atom) = 0.10
# - density of states at the Fermi level (states/eV/f.u.) = 8.72
# - E above lowest polymorph (kJ per mole of atoms) = 0.0
data_Tl3RuCl6
_cell_length_a 7.1755
_cell_length_b 7.8843
_cell_length_c 12.6074
_cell_angle_alpha 90.00
_cell_angle_beta 123.34
_cell_angle_gamma 90.00
_symmetry_space_group_name_H-M 'P 1 21/c 1'
_symmetry_Int_Tables_number 14
_symmetry_space_group_name_Hall '-P 2ybc'
loop_
_atom_site_label
_atom_site_type_symbol
_atom_site_fract_x
_atom_site_fract_y
_atom_site_fract_z
Tl1 Tl 0.0000 0.0000 0.0000
Tl2 Tl 0.2185 0.0696 0.7455
Ru1 Ru 0.5000 0.0000 0.5000
Cl1 Cl 0.1868 0.1598 0.4626
Cl2 Cl 0.2826 0.7463 0.4389
Cl3 Cl 0.3890 0.0443 0.2860